Record 1
Entry from the Alexandria database: a relaxed structure of Li3As2Ir (PBE).

CIF file:
```
data_Li3As2Ir
_cell_length_a 5.5522
_cell_length_b 12.8104
_cell_length_c 5.6051
_cell_angle_alpha 90.00
_cell_angle_beta 90.00
_cell_angle_gamma 90.00
_space_group_name_H-M_alt 'I b a m'
_space_group_IT_number 72
_space_group_name_Hall '-I 2 2c'
loop_
_atom_site_label
_atom_site_type_symbol
_atom_site_fract_x
_atom_site_fract_y
_atom_site_fract_z
Li1 Li 0.0000 0.0000 0.2500
Li2 Li 0.2500 0.1687 0.0000
As1 As 0.2340 0.3759 0.0000
Ir1 Ir 0.0000 0.5000 0.2500
```

Uncorrected energy   -4.5275 eV per atom
ΔH_f (0 K)   -544 meV per atom

=====

Record 2
Entry from the Alexandria database: a relaxed structure of LiAs2Ir (PBE).

CIF file:
```
data_LiAs2Ir
_cell_length_a 3.0257
_cell_length_b 3.0257
_cell_length_c 7.3556
_cell_angle_alpha 90.00
_cell_angle_beta 90.00
_cell_angle_gamma 90.00
_space_group_name_H-M_alt 'P 4 m m'
_space_group_IT_number 99
_space_group_name_Hall 'P 4 -2'
loop_
_atom_site_label
_atom_site_type_symbol
_atom_site_fract_x
_atom_site_fract_y
_atom_site_fract_z
Li1 Li 0.0000 0.0000 0.0000
As1 As 0.0000 0.0000 0.6039
As2 As 0.5000 0.5000 0.1857
Ir1 Ir 0.5000 0.5000 0.7996
```

Uncorrected energy   -5.1668 eV per atom
ΔH_f (0 K)   -148 meV per atom
Energy above the most stable polymorph in this dataset   0.140 eV/atom

=====

Record 3
Entry from the Alexandria database: a relaxed structure of LiAs2Ir (PBE).

CIF file:
```
data_LiAs2Ir
_cell_length_a 2.7951
_cell_length_b 4.1858
_cell_length_c 6.2601
_cell_angle_alpha 90.00
_cell_angle_beta 90.09
_cell_angle_gamma 90.00
_space_group_name_H-M_alt 'P 1 m 1'
_space_group_IT_number 6
_space_group_name_Hall 'P -2y'
loop_
_atom_site_label
_atom_site_type_symbol
_atom_site_fract_x
_atom_site_fract_y
_atom_site_fract_z
Li1 Li 0.0000 0.0000 0.0000
As1 As 0.4995 0.5000 0.8292
As2 As 0.5024 0.0000 0.4054
Ir1 Ir 0.5011 0.5000 0.2114
```

Uncorrected energy   -5.1804 eV per atom
ΔH_f (0 K)   -162 meV per atom
Energy above the most stable polymorph in this dataset   0.126 eV/atom

=====

Record 4
Entry from the Alexandria database: a relaxed structure of Li2AsIr (PBE).

CIF file:
```
data_Li2AsIr
_cell_length_a 2.9611
_cell_length_b 2.9611
_cell_length_c 26.7518
_cell_angle_alpha 90.00
_cell_angle_beta 90.00
_cell_angle_gamma 120.00
_space_group_name_H-M_alt 'R 3 m'
_space_group_IT_number 160
_space_group_name_Hall 'R 3 -2"'
loop_
_atom_site_label
_atom_site_type_symbol
_atom_site_fract_x
_atom_site_fract_y
_atom_site_fract_z
Li1 Li 0.0000 0.0000 0.0000
Li2 Li 0.0000 0.0000 0.2330
As1 As 0.0000 0.0000 0.7508
Ir1 Ir 0.0000 0.0000 0.4855
```

Uncorrected energy   -4.4148 eV per atom
ΔH_f (0 K)   -80 meV per atom

=====

Record 5
Entry from the Alexandria database: a relaxed structure of LiAs2Ir (PBE).

CIF file:
```
data_LiAs2Ir
_cell_length_a 3.6577
_cell_length_b 3.6577
_cell_length_c 19.1851
_cell_angle_alpha 90.00
_cell_angle_beta 90.00
_cell_angle_gamma 120.00
_space_group_name_H-M_alt 'R -3 m'
_space_group_IT_number 166
_space_group_name_Hall '-R 3 2"'
loop_
_atom_site_label
_atom_site_type_symbol
_atom_site_fract_x
_atom_site_fract_y
_atom_site_fract_z
Li1 Li 0.0000 0.0000 0.0000
As1 As 0.0000 0.0000 0.2382
Ir1 Ir 0.0000 0.0000 0.5000
```

Uncorrected energy   -5.2504 eV per atom
ΔH_f (0 K)   -232 meV per atom
Energy above the most stable polymorph in this dataset   0.056 eV/atom

=====

Record 6
Entry from the Alexandria database: a relaxed structure of Li3AsIr (PBE).

CIF file:
```
data_Li3AsIr
_cell_length_a 4.5375
_cell_length_b 4.5375
_cell_length_c 4.5375
_cell_angle_alpha 90.00
_cell_angle_beta 90.00
_cell_angle_gamma 90.00
_space_group_name_H-M_alt 'P m -3 m'
_space_group_IT_number 221
_space_group_name_Hall '-P 4 2 3'
loop_
_atom_site_label
_atom_site_type_symbol
_atom_site_fract_x
_atom_site_fract_y
_atom_site_fract_z
Li1 Li 0.0000 0.0000 0.5000
As1 As 0.0000 0.0000 0.0000
Ir1 Ir 0.5000 0.5000 0.5000
```

Uncorrected energy   -3.2960 eV per atom
ΔH_f (0 K)   554 meV per atom
Energy above the most stable polymorph in this dataset   0.032 eV/atom